Model 1:
The following is a SCAN calculation of B2PbCl at its PBEsol-relaxed geometry, from Alexandria via LeMat-Bulk.

Values from the calculation:
Symmetry ... Fm-3m, No. 225
Magnetic moment ... 0.000 μB per atom

a = 4.502 Å, b = 4.502 Å, c = 4.502 Å
α = 60.00°, β = 60.00°, γ = 60.00°
Atoms (fractional coordinates):
1 Pb 0.500 0.500 0.500
2 B 0.250 0.250 0.250
3 B 0.750 0.750 0.750
4 Cl 0.000 0.000 0.000

Model 2:
The following is a SCAN calculation of B2PbCl at its PBEsol-relaxed geometry, from Alexandria via LeMat-Bulk.

Values from the calculation:
Symmetry ... I-42d, No. 122
Magnetic moment ... 0.246 μB per atom

a = 5.130 Å, b = 5.130 Å, c = 6.699 Å
α = 112.51°, β = 112.51°, γ = 90.00°
Atoms (fractional coordinates):
1 Pb 0.250 0.750 0.500
2 Pb 0.000 0.000 0.000
3 B 0.863 0.375 0.250
4 B 0.387 0.875 0.250
5 B 0.625 0.613 0.750
6 B 0.125 0.137 0.750
7 Cl 0.750 0.250 0.500
8 Cl 0.500 0.500 0.000

Relative energy of each structure, in kJ/mol of atoms: model 1 43.3; model 2 0.0.

Model 1:
The following is a SCAN calculation of TlBS2Cl at its PBEsol-relaxed geometry, from Alexandria via LeMat-Bulk.

Values from the calculation:
Symmetry ... P4/mmm, No. 123
Magnetic moment ... 0.000 μB per atom

a = 4.208 Å, b = 4.208 Å, c = 4.815 Å
α = 90.00°, β = 90.00°, γ = 90.00°
Atoms (fractional coordinates):
1 Tl 0.500 0.500 0.500
2 B 0.000 0.000 0.000
3 S 0.000 0.500 0.000
4 S 0.500 0.000 0.000
5 Cl 0.000 0.000 0.500

Model 2:
The following is a SCAN calculation of TlBS2Cl at its PBEsol-relaxed geometry, from Alexandria via LeMat-Bulk.

Values from the calculation:
Symmetry ... P4/mmm, No. 123
Magnetic moment ... 0.000 μB per atom

a = 5.009 Å, b = 5.009 Å, c = 5.252 Å
α = 90.00°, β = 90.00°, γ = 90.00°
Atoms (fractional coordinates):
1 Tl 0.000 0.000 0.000
2 B 0.500 0.500 0.500
3 S 0.000 0.500 0.000
4 S 0.500 0.000 0.000
5 Cl 0.000 0.000 0.500

Relative energy of each structure, in kJ/mol of atoms: model 1 0.0; model 2 95.1.

Model 1:
The following is a SCAN calculation of B2SeCl at its PBEsol-relaxed geometry, from Alexandria via LeMat-Bulk.

Values from the calculation:
Symmetry ... I-42d, No. 122
Magnetic moment ... 0.000 μB per atom

a = 5.294 Å, b = 5.294 Å, c = 5.294 Å
α = 98.14°, β = 115.42°, γ = 115.42°
Atoms (fractional coordinates):
1 B 0.023 0.648 0.125
2 B 0.977 0.102 0.625
3 B 0.477 0.375 0.352
4 B 0.523 0.875 0.898
5 Se 0.000 0.000 0.000
6 Se 0.500 0.750 0.250
7 Cl 0.000 0.500 0.500
8 Cl 0.500 0.250 0.750

Model 2:
The following is a SCAN calculation of B2SeCl at its PBEsol-relaxed geometry, from Alexandria via LeMat-Bulk.

Values from the calculation:
Symmetry ... Fm-3m, No. 225
Magnetic moment ... 0.000 μB per atom

a = 4.190 Å, b = 4.190 Å, c = 4.190 Å
α = 60.00°, β = 60.00°, γ = 60.00°
Atoms (fractional coordinates):
1 B 0.250 0.250 0.250
2 B 0.750 0.750 0.750
3 Se 0.500 0.500 0.500
4 Cl 0.000 0.000 0.000

Relative energy of each structure, in kJ/mol of atoms: model 1 0.0; model 2 54.6.